No. 1
A relaxed structure of NdRhAu2, computed with GGA-PBE.

Cell: 4.637 4.637 5.349 Å, 64.31 64.31 60.00°
Fractional coordinates of all 4 atoms:
Nd (0.000, 0.000, 0.000)
Au (0.783, 0.783, 0.650)
Au (0.217, 0.217, 0.350)
Rh (0.500, 0.500, 0.500)

Summary:
Crystal system: trigonal
ΔH_f (0 K) (meV/atom): -429

---

No. 2
A relaxed structure of Nd3RhAu2, computed with GGA-PBE.

Cell: 6.018 8.277 7.546 Å, 105.89 113.50 90.00°
Fractional coordinates of all 12 atoms:
Nd (0.500, 0.250, 0.000)
Nd (0.500, 0.750, 0.000)
Nd (0.148, 0.074, 0.297)
Nd (0.851, 0.426, 0.703)
Nd (0.149, 0.574, 0.297)
Nd (0.852, 0.926, 0.703)
Rh (0.000, 0.750, 0.000)
Rh (0.000, 0.250, 0.000)
Au (0.675, 0.587, 0.348)
Au (0.673, 0.087, 0.348)
Au (0.327, 0.913, 0.652)
Au (0.325, 0.413, 0.652)

Summary:
Crystal system: monoclinic
ΔH_f (0 K) (meV/atom): -679

---

No. 3
A relaxed structure of Nd5RhAu4, computed with GGA-PBE.

Cell: 3.670 3.670 18.521 Å, 90.00 90.00 90.00°
Fractional coordinates of all 10 atoms:
Nd (0.500, 0.500, 0.092)
Nd (0.500, 0.500, 0.296)
Nd (0.500, 0.500, 0.500)
Nd (0.500, 0.500, 0.704)
Nd (0.500, 0.500, 0.908)
Rh (0.000, 0.000, 0.000)
Au (0.000, 0.000, 0.194)
Au (0.000, 0.000, 0.398)
Au (0.000, 0.000, 0.602)
Au (0.000, 0.000, 0.806)

Summary:
Crystal system: tetragonal
ΔH_f (0 K) (meV/atom): -739

---

No. 4
A relaxed structure of Nd8Rh5Au, computed with GGA-PBE.

Cell: 7.747 7.747 7.747 Å, 109.14 110.14 109.14°
Fractional coordinates of all 14 atoms:
Nd (0.116, 0.754, 0.998)
Nd (0.002, 0.118, 0.756)
Nd (0.735, 0.249, 0.373)
Nd (0.627, 0.363, 0.876)
Nd (0.513, 0.637, 0.265)
Nd (0.638, 0.882, 0.884)
Nd (0.244, 0.246, 0.362)
Nd (0.124, 0.751, 0.487)
Rh (0.005, 0.377, 0.122)
Rh (0.878, 0.883, 0.255)
Rh (0.745, 0.623, 0.628)
Rh (0.500, 0.000, 0.500)
Rh (0.372, 0.117, 0.995)
Au (0.250, 0.500, 0.750)

Summary:
Crystal system: tetragonal
ΔH_f (0 K) (meV/atom): -645

---

No. 5
A relaxed structure of Nd2RhAu2, computed with GGA-PBE.

Cell: 3.870 4.073 7.813 Å, 105.11 90.00 90.00°
Fractional coordinates of all 5 atoms:
Nd (0.000, 0.673, 0.346)
Nd (0.000, 0.926, 0.852)
Rh (0.500, 0.130, 0.260)
Au (0.500, 0.311, 0.621)
Au (0.500, 0.502, 0.005)

Summary:
Crystal system: orthorhombic
ΔH_f (0 K) (meV/atom): -725

---

No. 6
A relaxed structure of Nd12Rh6Au, computed with GGA-PBE.

Cell: 8.502 8.502 8.502 Å, 101.34 101.34 101.34°
Fractional coordinates of all 19 atoms:
Nd (0.824, 0.583, 0.429)
Nd (0.429, 0.824, 0.583)
Nd (0.583, 0.429, 0.824)
Nd (0.176, 0.417, 0.571)
Nd (0.571, 0.176, 0.417)
Nd (0.417, 0.571, 0.176)
Nd (0.080, 0.936, 0.331)
Nd (0.064, 0.669, 0.920)
Nd (0.669, 0.920, 0.064)
Nd (0.920, 0.064, 0.669)
Nd (0.936, 0.331, 0.080)
Nd (0.331, 0.080, 0.936)
Rh (0.691, 0.862, 0.385)
Rh (0.615, 0.309, 0.138)
Rh (0.138, 0.615, 0.309)
Rh (0.309, 0.138, 0.615)
Rh (0.385, 0.691, 0.862)
Rh (0.862, 0.385, 0.691)
Au (0.000, 0.000, 0.000)

Summary:
Crystal system: trigonal
ΔH_f (0 K) (meV/atom): -481

---

No. 7
A relaxed structure of Nd7Rh2Au2, computed with GGA-PBE.

Cell: 6.899 7.210 6.899 Å, 89.99 109.12 90.01°
Fractional coordinates of all 11 atoms:
Nd (0.000, 0.262, 0.500)
Nd (0.500, 0.738, 0.000)
Nd (0.000, 0.738, 0.500)
Nd (0.500, 0.262, 0.000)
Nd (0.000, 0.000, 0.000)
Nd (0.500, 0.747, 0.500)
Nd (0.500, 0.253, 0.500)
Rh (0.707, 0.000, 0.293)
Rh (0.293, 0.000, 0.707)
Au (0.819, 0.500, 0.819)
Au (0.181, 0.500, 0.181)

Summary:
Crystal system: orthorhombic
ΔH_f (0 K) (meV/atom): -432

---

No. 8
A relaxed structure of NdRhAu4, computed with GGA-PBE.

Cell: 5.523 5.523 5.523 Å, 60.00 60.00 60.00°
Fractional coordinates of all 6 atoms:
Nd (0.000, 0.000, 0.000)
Au (0.624, 0.624, 0.127)
Au (0.624, 0.127, 0.624)
Au (0.624, 0.624, 0.624)
Au (0.127, 0.624, 0.624)
Rh (0.250, 0.250, 0.250)

Summary:
Crystal system: cubic
ΔH_f (0 K) (meV/atom): -310

---

No. 9
A relaxed structure of Nd3RhAu2, computed with GGA-PBE.

Cell: 4.574 11.027 12.395 Å, 90.00 90.00 90.00°
Fractional coordinates of all 24 atoms:
Nd (0.250, 0.378, 0.051)
Nd (0.750, 0.622, 0.949)
Nd (0.750, 0.878, 0.449)
Nd (0.250, 0.122, 0.551)
Nd (0.250, 0.709, 0.242)
Nd (0.750, 0.291, 0.758)
Nd (0.750, 0.209, 0.258)
Nd (0.250, 0.791, 0.742)
Nd (0.250, 0.442, 0.389)
Nd (0.750, 0.558, 0.611)
Nd (0.750, 0.942, 0.111)
Nd (0.250, 0.058, 0.889)
Rh (0.250, 0.131, 0.123)
Rh (0.750, 0.869, 0.877)
Rh (0.750, 0.631, 0.377)
Rh (0.250, 0.369, 0.623)
Au (0.250, 0.702, 0.505)
Au (0.750, 0.298, 0.495)
Au (0.750, 0.202, 0.995)
Au (0.250, 0.798, 0.005)
Au (0.250, 0.993, 0.310)
Au (0.750, 0.007, 0.690)
Au (0.750, 0.493, 0.190)
Au (0.250, 0.507, 0.810)

Summary:
Crystal system: orthorhombic
ΔH_f (0 K) (meV/atom): -707

---

No. 10
A relaxed structure of Nd3Rh2Au, computed with GGA-PBE.

Cell: 3.585 3.585 10.939 Å, 90.00 90.00 90.00°
Fractional coordinates of all 6 atoms:
Nd (0.000, 0.000, 0.000)
Nd (0.000, 0.000, 0.682)
Nd (0.000, 0.000, 0.318)
Rh (0.500, 0.500, 0.836)
Rh (0.500, 0.500, 0.164)
Au (0.500, 0.500, 0.500)

Summary:
Crystal system: tetragonal
ΔH_f (0 K) (meV/atom): -685

---

No. 11
A relaxed structure of Nd5Rh2Au2, computed with GGA-PBE.

Cell: 7.836 7.751 8.705 Å, 116.44 90.00 90.00°
Fractional coordinates of all 18 atoms:
Nd (0.000, 0.000, 0.000)
Nd (0.500, 0.500, 0.000)
Nd (0.830, 0.801, 0.259)
Nd (0.170, 0.458, 0.259)
Nd (0.330, 0.958, 0.259)
Nd (0.670, 0.301, 0.259)
Nd (0.170, 0.199, 0.741)
Nd (0.830, 0.542, 0.741)
Nd (0.670, 0.042, 0.741)
Nd (0.330, 0.699, 0.741)
Rh (0.631, 0.869, 0.000)
Rh (0.369, 0.131, 0.000)
Rh (0.131, 0.631, 0.000)
Rh (0.869, 0.369, 0.000)
Au (0.000, 0.208, 0.415)
Au (0.500, 0.708, 0.415)
Au (0.000, 0.792, 0.585)
Au (0.500, 0.292, 0.585)

Summary:
Crystal system: orthorhombic
ΔH_f (0 K) (meV/atom): -679

---

No. 12
A relaxed structure of Nd12Rh6Au, computed with GGA-PBE.

Cell: 8.788 8.788 8.788 Å, 109.47 109.47 109.47°
Fractional coordinates of all 19 atoms:
Nd (0.303, 0.118, 0.815)
Nd (0.303, 0.488, 0.185)
Nd (0.697, 0.512, 0.815)
Nd (0.697, 0.882, 0.185)
Nd (0.118, 0.815, 0.303)
Nd (0.488, 0.185, 0.303)
Nd (0.512, 0.815, 0.697)
Nd (0.882, 0.185, 0.697)
Nd (0.815, 0.303, 0.118)
Nd (0.185, 0.303, 0.488)
Nd (0.815, 0.697, 0.512)
Nd (0.185, 0.697, 0.882)
Rh (0.366, 0.500, 0.866)
Rh (0.634, 0.500, 0.134)
Rh (0.500, 0.866, 0.366)
Rh (0.500, 0.134, 0.634)
Rh (0.866, 0.366, 0.500)
Rh (0.134, 0.634, 0.500)
Au (0.000, 0.000, 0.000)

Summary:
Crystal system: cubic
ΔH_f (0 K) (meV/atom): -517

---

| no. | total DFT energy (no corrections) (eV/cell) | magnetization (μB per atom) |
| --- | --- | --- |
| 1 | -20.39 | 0.00 |
| 2 | -64.56 | 0.00 |
| 3 | -51.69 | 0.00 |
| 4 | -87.21 | 0.00 |
| 5 | -27.07 | 0.00 |
| 6 | -113.75 | 0.00 |
| 7 | -59.38 | 0.00 |
| 8 | -27.09 | 0.00 |
| 9 | -129.81 | 0.00 |
| 10 | -36.39 | 0.00 |
| 11 | -102.41 | 0.00 |
| 12 | -114.43 | 0.00 |